LiZr2Mn (PBE-GGA, optimized geometry); V = 18.3 Å³ per atom; ΔH_f (0 K) = 0.253 eV/atom; calculated total energy = -0.4992 Ry per atom; M_tot = 0.52 μB per atom; density = 5.5 g/cm³
1.0
-3.717 -2.321 -3.097
-0.449 -5.330 0.429
0.162 4.153 3.394
Li Zr Mn
1 2 1
Cartesian
-2.083 -3.826 -1.334 Li
0.000 0.000 0.000 Zr
-1.185 -2.501 1.244 Zr
-2.819 -0.997 -0.519 Mn

LiZr3Mn (PBE-GGA, optimized geometry); V = 23.3 Å³ per atom; ΔH_f (0 K) = 0.414 eV/atom; calculated total energy = -0.5095 Ry per atom; M_tot = 0.00 μB per atom; energy above the lowest structure with this stoichiometry = 0 meV per atom; density = 4.8 g/cm³
1.0
-4.715 0.875 -0.941
-0.456 -4.486 -1.886
-1.201 -1.732 4.410
Zr Mn Li
3 1 1
Cartesian
-0.228 -2.243 -0.943 Zr
-0.601 -0.866 2.205 Zr
-2.358 0.437 -0.471 Zr
0.000 0.000 0.000 Mn
-3.186 -2.671 0.791 Li

LiZr3Mn (PBE-GGA, optimized geometry); V = 19.4 Å³ per atom; ΔH_f (0 K) = 1.158 eV/atom; calculated total energy = -0.4548 Ry per atom; M_tot = 0.00 μB per atom; energy above the lowest structure with this stoichiometry = 744 meV per atom; density = 5.7 g/cm³
1.0
-3.842 -1.535 -1.995
2.466 -3.023 -2.424
-0.503 -3.099 3.353
Zr Mn Li
3 1 1
Cartesian
-1.921 -0.767 -0.998 Zr
-0.252 -1.549 1.676 Zr
1.233 -1.512 -1.212 Zr
-0.940 -3.828 -0.533 Mn
0.000 0.000 0.000 Li

LiZr2Mn (PBE-GGA, optimized geometry); V = 18.4 Å³ per atom; ΔH_f (0 K) = 0.313 eV/atom; calculated total energy = -0.4948 Ry per atom; M_tot = 0.40 μB per atom; density = 5.5 g/cm³
1.0
4.705 0.000 0.000
2.352 4.075 0.000
2.352 1.358 3.842
Zr Mn Li
2 1 1
Cartesian
2.352 1.358 0.960 Zr
0.000 0.000 0.000 Zr
7.057 4.075 2.881 Mn
4.705 2.716 1.921 Li

LiZr2Mn (PBE-GGA, optimized geometry); V = 17.9 Å³ per atom; ΔH_f (0 K) = 0.487 eV/atom; calculated total energy = -0.4820 Ry per atom; M_tot = 0.00 μB per atom; density = 5.7 g/cm³
1.0
7.071 0.000 0.000
0.000 7.071 0.000
3.536 3.536 2.869
Li Zr Mn
2 4 2
Cartesian
3.536 3.536 0.000 Li
3.536 7.071 1.434 Li
5.303 5.199 2.152 Zr
1.664 5.303 0.717 Zr
8.839 8.943 2.152 Zr
5.408 1.768 0.717 Zr
7.071 3.536 1.434 Mn
0.000 0.000 0.000 Mn

LiZr2Mn (PBE-GGA, optimized geometry); V = 20.1 Å³ per atom; ΔH_f (0 K) = 0.283 eV/atom; calculated total energy = -0.4970 Ry per atom; M_tot = 0.21 μB per atom; density = 5.1 g/cm³
1.0
9.199 0.032 0.019
8.629 3.189 0.019
8.629 1.559 2.782
Li Zr Mn
1 2 1
Cartesian
6.614 1.195 0.705 Li
12.827 2.317 1.367 Zr
0.402 0.073 0.043 Zr
19.843 3.584 2.114 Mn

LiZr2Mn (PBE-GGA, optimized geometry); V = 18.2 Å³ per atom; ΔH_f (0 K) = 0.220 eV/atom; calculated total energy = -0.5016 Ry per atom; M_tot = 0.43 μB per atom; density = 5.6 g/cm³
1.0
-2.678 -1.998 4.493
-4.363 -2.982 1.849
1.003 -4.357 0.981
Zr Li Mn
2 1 1
Cartesian
0.826 -4.370 1.099 Zr
-1.474 -2.332 1.807 Zr
-2.821 -4.654 3.530 Li
-4.586 -7.007 5.530 Mn

LiZr2Mn2 (PBE-GGA, optimized geometry); V = 17.8 Å³ per atom; ΔH_f (0 K) = 0.143 eV/atom; calculated total energy = -0.5385 Ry per atom; M_tot = 0.72 μB per atom; density = 5.6 g/cm³
1.0
7.104 0.000 0.000
0.000 7.104 0.000
0.000 0.000 3.531
Mn Zr Li
4 4 2
Cartesian
4.452 0.900 0.000 Mn
0.900 2.652 0.000 Mn
6.204 4.452 0.000 Mn
2.652 6.204 0.000 Mn
2.363 1.188 1.765 Zr
4.740 5.915 1.765 Zr
1.188 4.740 1.765 Zr
5.915 2.363 1.765 Zr
0.000 0.000 0.000 Li
3.552 3.552 0.000 Li

LiZr2Mn (PBE-GGA, optimized geometry); V = 19.0 Å³ per atom; ΔH_f (0 K) = 0.338 eV/atom; calculated total energy = -0.4929 Ry per atom; M_tot = 0.57 μB per atom; density = 5.3 g/cm³
1.0
-1.787 2.239 0.491
-3.551 -1.964 -3.970
-4.257 -3.598 0.914
Zr Li Mn
2 1 1
Cartesian
-2.669 0.138 -1.739 Zr
0.000 0.000 0.000 Zr
-4.797 -1.662 -1.282 Li
-2.128 -1.799 0.457 Mn

LiZrMn4 (PBE-GGA, optimized geometry); V = 13.2 Å³ per atom; ΔH_f (0 K) = 0.084 eV/atom; calculated total energy = -0.5713 Ry per atom; M_tot = 0.00 μB per atom; density = 6.7 g/cm³
1.0
0.000 3.409 3.409
3.409 0.000 3.409
3.409 3.409 0.000
Mn Zr Li
4 1 1
Cartesian
2.550 4.267 4.267 Mn
4.267 2.550 4.267 Mn
2.550 2.550 2.550 Mn
4.267 4.267 2.550 Mn
5.113 5.113 5.113 Zr
0.000 0.000 0.000 Li

LiZr2Mn (PBE-GGA, optimized geometry); V = 19.0 Å³ per atom; ΔH_f (0 K) = 0.078 eV/atom; calculated total energy = -0.5121 Ry per atom; M_tot = 0.00 μB per atom; density = 5.3 g/cm³
1.0
-3.098 -0.395 -0.213
0.452 -2.727 -1.469
-0.001 -3.675 6.824
Mn Zr Li
1 2 1
Cartesian
-1.324 -4.317 4.277 Mn
0.000 -2.012 3.735 Zr
-0.001 -3.501 6.500 Zr
-1.323 -2.480 0.865 Li

Li3ZrMn (PBE-GGA, optimized geometry); V = 18.5 Å³ per atom; ΔH_f (0 K) = 0.823 eV/atom; calculated total energy = -0.2844 Ry per atom; M_tot = 0.41 μB per atom; energy above the lowest structure with this stoichiometry = 0 meV per atom; density = 3.0 g/cm³
1.0
4.524 0.000 0.000
0.000 4.524 0.000
0.000 0.000 4.524
Li Mn Zr
3 1 1
Cartesian
2.262 0.000 0.000 Li
0.000 0.000 2.262 Li
0.000 2.262 0.000 Li
0.000 0.000 0.000 Mn
2.262 2.262 2.262 Zr

LiZrMn3 (PBE-GGA, optimized geometry); V = 14.9 Å³ per atom; ΔH_f (0 K) = 0.721 eV/atom; calculated total energy = -0.5052 Ry per atom; M_tot = 1.60 μB per atom; energy above the lowest structure with this stoichiometry = 0 meV per atom; density = 5.8 g/cm³
1.0
4.212 0.000 0.000
0.000 4.212 0.000
0.000 0.000 4.212
Zr Li Mn
1 1 3
Cartesian
2.106 2.106 2.106 Zr
0.000 0.000 0.000 Li
0.000 2.106 0.000 Mn
2.106 0.000 0.000 Mn
0.000 0.000 2.106 Mn

LiZr2Mn (PBE-GGA, optimized geometry); V = 19.0 Å³ per atom; ΔH_f (0 K) = 0.197 eV/atom; calculated total energy = -0.5033 Ry per atom; M_tot = 0.79 μB per atom; density = 5.3 g/cm³
1.0
3.236 0.000 0.000
0.000 3.236 0.000
0.000 0.000 7.243
Mn Li Zr
1 1 2
Cartesian
1.618 1.618 5.284 Mn
0.000 0.000 3.896 Li
0.000 0.000 7.023 Zr
1.618 1.618 1.904 Zr

LiZrMn3 (PBE-GGA, optimized geometry); V = 23.7 Å³ per atom; ΔH_f (0 K) = 1.242 eV/atom; calculated total energy = -0.4668 Ry per atom; M_tot = 1.97 μB per atom; energy above the lowest structure with this stoichiometry = 521 meV per atom; density = 3.7 g/cm³
1.0
-4.331 0.332 2.286
1.590 -3.096 3.462
1.676 3.795 2.624
Zr Li Mn
1 1 3
Cartesian
0.000 0.000 0.000 Zr
-0.533 0.516 4.186 Li
0.795 -1.548 1.731 Mn
-2.166 0.166 1.143 Mn
0.838 1.898 1.312 Mn

LiZr2Mn (PBE-GGA, optimized geometry); V = 19.6 Å³ per atom; ΔH_f (0 K) = 0.284 eV/atom; calculated total energy = -0.4969 Ry per atom; M_tot = 0.09 μB per atom; density = 5.2 g/cm³
1.0
4.127 0.011 0.001
3.010 2.823 0.001
0.634 0.252 6.736
Li Mn Zr
1 1 2
Cartesian
1.943 0.772 1.685 Li
5.828 2.315 5.054 Mn
0.700 0.278 6.412 Zr
3.819 1.517 3.693 Zr

LiMo2 (PBE-GGA, optimized geometry); V = 16.2 Å³ per atom; ΔH_f (0 K) = 0.376 eV/atom; calculated total energy = -0.5500 Ry per atom; M_tot = 0.00 μB per atom; energy above the lowest structure with this stoichiometry = 77 meV per atom; density = 6.8 g/cm³
1.0
-3.883 3.974 -6.045
1.580 -3.758 7.127
1.272 4.116 1.888
Mo Li
4 2
Cartesian
-2.964 4.151 -4.122 Mo
-1.104 1.518 0.363 Mo
1.932 0.180 7.092 Mo
0.072 2.813 2.607 Mo
0.717 -1.058 4.751 Li
-1.748 5.389 -1.781 Li

Li2Mo3 (PBE-GGA, optimized geometry); V = 15.9 Å³ per atom; ΔH_f (0 K) = 0.454 eV/atom; calculated total energy = -0.5005 Ry per atom; M_tot = 0.05 μB per atom; density = 6.3 g/cm³
1.0
0.371 -4.452 11.739
-1.029 -6.520 10.686
1.680 -6.532 10.596
Mo Li
3 2
Cartesian
0.204 -3.491 6.586 Mo
0.000 0.000 0.000 Mo
0.818 -14.013 26.436 Mo
0.613 -10.504 19.817 Li
0.409 -7.000 13.205 Li

Li2Mo (PBE-GGA, optimized geometry); V = 13.8 Å³ per atom; ΔH_f (0 K) = 0.519 eV/atom; calculated total energy = -0.3210 Ry per atom; M_tot = 0.00 μB per atom; energy above the lowest structure with this stoichiometry = 203 meV per atom; density = 4.4 g/cm³
1.0
4.619 0.000 0.000
-2.309 4.000 0.000
0.000 0.000 8.977
Li Mo
8 4
Cartesian
1.186 0.685 2.244 Li
3.433 0.685 2.244 Li
-1.123 3.315 6.733 Li
0.000 1.369 6.733 Li
2.309 2.631 2.244 Li
0.000 0.000 0.000 Li
1.123 3.315 6.733 Li
0.000 0.000 4.489 Li
0.000 2.667 4.165 Mo
2.309 1.333 4.812 Mo
2.309 1.333 8.654 Mo
0.000 2.667 0.324 Mo

Li5Mo (PBE-GGA, optimized geometry); V = 16.7 Å³ per atom; ΔH_f (0 K) = 0.318 eV/atom; calculated total energy = -0.2265 Ry per atom; M_tot = 0.09 μB per atom; energy above the lowest structure with this stoichiometry = 120 meV per atom; density = 2.2 g/cm³
1.0
-4.271 -3.649 -0.989
-2.353 -5.188 -0.286
-2.989 -0.740 6.532
Li Mo
5 1
Cartesian
-8.043 -8.646 3.014 Li
-2.985 -0.804 6.381 Li
-3.209 -3.285 1.561 Li
-6.430 -6.429 3.469 Li
-4.895 -5.613 1.066 Li
-4.662 -3.099 5.934 Mo

Li2Mo (PBE-GGA, optimized geometry); V = 15.4 Å³ per atom; ΔH_f (0 K) = 0.461 eV/atom; calculated total energy = -0.3252 Ry per atom; M_tot = 0.00 μB per atom; energy above the lowest structure with this stoichiometry = 145 meV per atom; density = 3.9 g/cm³
1.0
-10.323 0.710 -8.150
-11.826 -3.215 -4.825
9.926 3.058 8.100
Li Mo
8 4
Cartesian
-5.547 -0.627 -3.249 Li
-7.517 1.057 -4.312 Li
-3.955 1.459 -2.225 Li
-12.856 -1.454 -7.531 Li
-16.603 -1.878 -9.726 Li
-0.208 1.883 -0.030 Li
-11.264 0.633 -6.507 Li
-9.293 -1.051 -5.444 Li
-8.581 -0.942 -2.832 Mo
-2.093 -0.237 -1.226 Mo
-4.395 -0.468 -0.380 Mo
-20.057 -2.268 -11.749 Mo

LiMo (PBE-GGA, optimized geometry); V = 15.8 Å³ per atom; ΔH_f (0 K) = 0.458 eV/atom; calculated total energy = -0.4347 Ry per atom; M_tot = 0.00 μB per atom; energy above the lowest structure with this stoichiometry = 256 meV per atom; density = 5.4 g/cm³
1.0
-1.424 -1.274 1.614
-2.398 -1.796 -3.534
3.476 -4.181 -0.233
Li Mo
2 2
Cartesian
-0.198 -2.102 -1.834 Li
0.158 -0.190 -0.011 Li
0.774 -4.764 -1.140 Mo
1.238 -2.982 0.676 Mo

LiMo (PBE-GGA, optimized geometry); V = 15.5 Å³ per atom; ΔH_f (0 K) = 0.420 eV/atom; calculated total energy = -0.4375 Ry per atom; M_tot = 0.00 μB per atom; energy above the lowest structure with this stoichiometry = 219 meV per atom; density = 5.5 g/cm³
1.0
5.758 0.000 0.001
2.611 4.350 0.004
0.573 0.413 2.472
Li Mo
2 2
Cartesian
7.295 2.736 1.861 Li
6.268 0.526 2.469 Li
2.819 0.331 0.628 Mo
4.412 2.517 1.229 Mo

Li2Mo (PBE-GGA, optimized geometry); V = 14.8 Å³ per atom; ΔH_f (0 K) = 1.151 eV/atom; calculated total energy = -0.2746 Ry per atom; M_tot = 0.05 μB per atom; energy above the lowest structure with this stoichiometry = 835 meV per atom; density = 4.1 g/cm³
1.0
2.879 -4.987 0.000
2.879 4.987 0.000
0.000 0.000 4.643
Li Mo
6 3
Cartesian
4.529 0.000 0.000 Li
0.615 -1.065 0.000 Li
1.468 2.543 2.321 Li
2.822 0.000 2.321 Li
0.615 1.065 0.000 Li
1.468 -2.543 2.321 Li
2.879 1.662 0.000 Mo
0.000 0.000 2.321 Mo
2.879 -1.662 0.000 Mo

LiMo (PBE-GGA, optimized geometry); V = 14.4 Å³ per atom; ΔH_f (0 K) = 0.724 eV/atom; calculated total energy = -0.4151 Ry per atom; M_tot = 0.00 μB per atom; energy above the lowest structure with this stoichiometry = 523 meV per atom; density = 5.9 g/cm³
1.0
1.657 -2.870 0.000
1.657 2.870 0.000
0.000 0.000 12.116
Mo Li
4 4
Cartesian
1.657 -0.957 6.883 Mo
1.657 0.957 0.825 Mo
1.657 -0.957 11.290 Mo
1.657 0.957 5.232 Mo
0.000 0.000 9.087 Li
1.657 0.957 9.087 Li
1.657 -0.957 3.029 Li
0.000 0.000 3.029 Li

Li4Mo3 (PBE-GGA, optimized geometry); V = 17.2 Å³ per atom; ΔH_f (0 K) = 0.463 eV/atom; calculated total energy = -0.3875 Ry per atom; M_tot = 0.00 μB per atom; density = 4.4 g/cm³
1.0
1.370 3.737 3.172
-4.684 -1.975 0.266
1.733 -3.635 3.534
Li Mo
4 3
Cartesian
-1.799 -1.888 3.002 Li
0.218 0.016 3.971 Li
0.444 -0.932 0.906 Li
1.289 -2.703 2.628 Li
-2.342 -0.987 0.133 Mo
0.685 1.869 1.586 Mo
-1.657 0.881 1.719 Mo

LiMo (PBE-GGA, optimized geometry); V = 40.1 Å³ per atom; ΔH_f (0 K) = 2.728 eV/atom; calculated total energy = -0.2679 Ry per atom; M_tot = 2.51 μB per atom; energy above the lowest structure with this stoichiometry = 2526 meV per atom; density = 2.1 g/cm³
1.0
-7.137 -1.780 2.701
3.234 -3.748 6.074
-0.088 6.647 4.148
Mo Li
6 6
Cartesian
1.595 -0.212 4.074 Mo
-1.828 2.879 2.749 Mo
-2.760 -1.827 2.869 Mo
-5.396 1.989 4.100 Mo
-1.143 -3.701 5.906 Mo
1.551 3.111 6.148 Mo
-0.167 -2.319 3.712 Li
-3.634 4.095 4.461 Li
0.765 2.387 3.592 Li
-3.736 -3.209 5.063 Li
-3.590 0.772 2.388 Li
2.381 0.513 6.629 Li